# ScZnFe2 (PBE, optimized geometry)
# Uncorrected energy ... -24.64 eV per formula unit
# Volume ... 57.3 Å³/cell
# Symmetry ... No. 119
# Magnetic moment ... 3.939 μB/f.u.
# DFT formation energy ... -2.7 kJ/mol of atoms
data_ScZnFe2
_chemical_formula_sum 'Sc1 Zn1 Fe2'
_cell_length_a 4.753
_cell_length_b 4.753
_cell_length_c 4.753
_cell_angle_alpha 132.50
_cell_angle_beta 132.50
_cell_angle_gamma 69.45
_space_group_name_H-M_alt 'P 1'
_space_group_IT_number 1
loop_
_space_group_symop_operation_xyz
'x,y,z'
loop_
_atom_site_label
_atom_site_type_symbol
_atom_site_fract_x
_atom_site_fract_y
_atom_site_fract_z
Sc1 Sc 0.000 0.000 0.000
Zn1 Zn 0.250 0.750 0.500
Fe1 Fe 0.500 0.500 0.000
Fe2 Fe 0.750 0.250 0.500



# CdSiF2 (PBE, optimized geometry)
# Formation energy from raw total energies ... -1.506 eV/atom
# Uncorrected energy ... -16.11 eV per formula unit
# Volume ... 60.9 Å³/cell
# Symmetry ... No. 166
# Energy relative to the lowest polymorph listed for this composition ... 0.0 meV/atom
# Magnetic moment ... 0.000 μB/f.u.
data_CdSiF2
_chemical_formula_sum 'Cd1 Si1 F2'
_cell_length_a 8.761
_cell_length_b 8.761
_cell_length_c 8.761
_cell_angle_alpha 18.78
_cell_angle_beta 18.78
_cell_angle_gamma 18.78
_space_group_name_H-M_alt 'P 1'
_space_group_IT_number 1
loop_
_space_group_symop_operation_xyz
'x,y,z'
loop_
_atom_site_label
_atom_site_type_symbol
_atom_site_fract_x
_atom_site_fract_y
_atom_site_fract_z
Cd1 Cd 0.000 0.000 0.000
Si1 Si 0.500 0.500 0.500
F1 F 0.435 0.435 0.435
F2 F 0.565 0.565 0.565



# Cd6Hg12Au (PBE, optimized geometry)
# Uncorrected energy ... -11.83 eV per formula unit
# Volume ... 486.6 Å³/cell
# Symmetry ... No. 148
# Magnetic moment ... 0.000 μB/f.u.
# DFT formation energy ... 2.9 kJ/mol of atoms
data_Cd6Hg12Au
_chemical_formula_sum 'Cd6 Hg12 Au1'
_cell_length_a 8.072
_cell_length_b 8.072
_cell_length_c 8.072
_cell_angle_alpha 101.84
_cell_angle_beta 101.84
_cell_angle_gamma 101.84
_space_group_name_H-M_alt 'P 1'
_space_group_IT_number 1
loop_
_space_group_symop_operation_xyz
'x,y,z'
loop_
_atom_site_label
_atom_site_type_symbol
_atom_site_fract_x
_atom_site_fract_y
_atom_site_fract_z
Cd1 Cd 0.148 0.736 0.844
Cd2 Cd 0.156 0.852 0.264
Cd3 Cd 0.264 0.156 0.852
Cd4 Cd 0.736 0.844 0.148
Cd5 Cd 0.844 0.148 0.736
Cd6 Cd 0.852 0.264 0.156
Hg1 Hg 0.076 0.185 0.469
Hg2 Hg 0.185 0.469 0.076
Hg3 Hg 0.193 0.577 0.469
Hg4 Hg 0.423 0.531 0.807
Hg5 Hg 0.469 0.076 0.185
Hg6 Hg 0.469 0.193 0.577
Hg7 Hg 0.531 0.807 0.423
Hg8 Hg 0.531 0.924 0.815
Hg9 Hg 0.577 0.469 0.193
Hg10 Hg 0.807 0.423 0.531
Hg11 Hg 0.815 0.531 0.924
Hg12 Hg 0.924 0.815 0.531
Au1 Au 0.000 0.000 0.000



# TbPaZnRu (PBE, optimized geometry)
# Uncorrected energy ... -25.42 eV per formula unit
# Volume ... 84.4 Å³/cell
# Symmetry ... No. 216
# Magnetic moment ... 0.005 μB/f.u.
# DFT formation energy ... -18.0 kJ/mol of atoms
data_TbPaZnRu
_chemical_formula_sum 'Tb1 Pa1 Zn1 Ru1'
_cell_length_a 4.924
_cell_length_b 4.924
_cell_length_c 4.924
_cell_angle_alpha 60.00
_cell_angle_beta 60.00
_cell_angle_gamma 60.00
_space_group_name_H-M_alt 'P 1'
_space_group_IT_number 1
loop_
_space_group_symop_operation_xyz
'x,y,z'
loop_
_atom_site_label
_atom_site_type_symbol
_atom_site_fract_x
_atom_site_fract_y
_atom_site_fract_z
Tb1 Tb 0.000 0.000 0.000
Pa1 Pa 0.500 0.500 0.500
Zn1 Zn 0.250 0.250 0.250
Ru1 Ru 0.750 0.750 0.750



# Cu2RhSe (PBE, optimized geometry)
# Formation energy from raw total energies ... 0.149 eV/atom
# Uncorrected energy ... -18.43 eV per formula unit
# Volume ... 58.2 Å³/cell
# Symmetry ... No. 10
# Magnetic moment ... 0.000 μB/f.u.
data_Cu2RhSe
_chemical_formula_sum 'Cu2 Rh1 Se1'
_cell_length_a 2.983
_cell_length_b 4.382
_cell_length_c 4.459
_cell_angle_alpha 90.00
_cell_angle_beta 92.82
_cell_angle_gamma 90.00
_space_group_name_H-M_alt 'P 1'
_space_group_IT_number 1
loop_
_space_group_symop_operation_xyz
'x,y,z'
loop_
_atom_site_label
_atom_site_type_symbol
_atom_site_fract_x
_atom_site_fract_y
_atom_site_fract_z
Cu1 Cu 0.188 0.000 0.246
Cu2 Cu 0.812 0.000 0.754
Rh1 Rh 0.500 0.500 0.000
Se1 Se 0.000 0.500 0.500



# SmRhPb (PBE, optimized geometry)
# Uncorrected energy ... -17.01 eV per formula unit
# Volume ... 69.9 Å³/cell
# Symmetry ... No. 107
# Magnetic moment ... 0.000 μB/f.u.
# DFT formation energy ... -39.6 kJ/mol of atoms
data_SmRhPb
_chemical_formula_sum 'Sm1 Rh1 Pb1'
_cell_length_a 6.353
_cell_length_b 6.353
_cell_length_c 6.353
_cell_angle_alpha 148.48
_cell_angle_beta 148.48
_cell_angle_gamma 45.18
_space_group_name_H-M_alt 'P 1'
_space_group_IT_number 1
loop_
_space_group_symop_operation_xyz
'x,y,z'
loop_
_atom_site_label
_atom_site_type_symbol
_atom_site_fract_x
_atom_site_fract_y
_atom_site_fract_z
Sm1 Sm 0.000 0.000 0.000
Rh1 Rh 0.353 0.353 0.000
Pb1 Pb 0.712 0.712 0.000